# GGA+U La2MgNiO5, optimized geometry
# V: 255 Å³/cell
# VASP energy: -6.5851 eV per atom
# ρ: 5.74 g cm⁻³
data_La2MgNiO5
_chemical_formula_sum 'La4 Mg2 Ni2 O10'
_cell_length_a 5.610
_cell_length_b 6.745
_cell_length_c 6.745
_cell_angle_alpha 90.00
_cell_angle_beta 90.00
_cell_angle_gamma 90.00
_space_group_name_H-M_alt 'P 1'
_space_group_IT_number 1
loop_
_space_group_symop_operation_xyz
'x,y,z'
loop_
_atom_site_label
_atom_site_fract_x
_atom_site_fract_y
_atom_site_fract_z
La1 0.500 0.674 0.174
La2 0.500 0.174 0.326
La3 0.500 0.826 0.674
La4 0.500 0.326 0.826
Mg1 0.000 0.500 0.500
Mg2 0.000 0.000 0.000
Ni1 0.000 0.000 0.500
Ni2 0.000 0.500 0.000
O1 0.500 0.500 0.500
O2 0.500 0.000 0.000
O3 0.229 0.141 0.641
O4 0.229 0.859 0.359
O5 0.229 0.359 0.141
O6 0.229 0.641 0.859
O7 0.771 0.141 0.641
O8 0.771 0.641 0.859
O9 0.771 0.859 0.359
O10 0.771 0.359 0.141